(1)
# La11Tm9Sc4 | Alexandria via LeMat-Bulk | PBE | relaxed
# - ρ: 6.8 g/cm³
# - Formation energy: 70 meV per atom
data_La11Tm9Sc4
_chemical_formula_sum 'La22 Tm18 Sc8'
_space_group_name_H-M_alt 'C m m m'
_space_group_IT_number 65
_space_group_name_Hall '-C 2 2'
_cell_length_a 16.9101
_cell_length_b 25.5592
_cell_length_c 3.6272
_cell_angle_alpha 90.00
_cell_angle_beta 90.00
_cell_angle_gamma 90.00
loop_
_atom_site_label
_atom_site_fract_x
_atom_site_fract_y
_atom_site_fract_z
_atom_site_occupancy
La1 0.0000 0.0000 0.0000 1
La2 0.0000 0.1592 0.0000 1
La3 0.0000 0.3703 0.0000 1
La4 0.2014 0.5000 0.0000 1
La5 0.2241 0.1801 0.0000 1
Tm1 0.0000 0.5000 0.5000 1
Tm2 0.1015 0.2694 0.5000 1
Tm3 0.1455 0.0712 0.5000 1
Sc1 0.1572 0.3976 0.5000 1



(2)
# Pr3Mg5 | Alexandria via LeMat-Bulk | PBE | relaxed
# - ρ: 4.0 g/cm³
# - Formation energy: -84 meV per atom
# - Excess energy over the best structure of this formula in the dataset: 0 meV/atom
data_Pr3Mg5
_chemical_formula_sum 'Pr6 Mg10'
_space_group_name_H-M_alt 'C m m m'
_space_group_IT_number 65
_space_group_name_Hall '-C 2 2'
_cell_length_a 7.9058
_cell_length_b 10.8627
_cell_length_c 5.3078
_cell_angle_alpha 90.00
_cell_angle_beta 90.00
_cell_angle_gamma 90.00
loop_
_atom_site_label
_atom_site_fract_x
_atom_site_fract_y
_atom_site_fract_z
_atom_site_occupancy
Pr1 0.0000 0.0000 0.0000 1
Pr2 0.0000 0.2659 0.5000 1
Mg1 0.0000 0.5000 0.0000 1
Mg2 0.2487 0.5000 0.5000 1
Mg3 0.2500 0.2500 0.0000 1



(3)
# LiCe2Ga | Alexandria via LeMat-Bulk | PBE | relaxed
# - ρ: 6.3 g/cm³
# - Formation energy: 0 meV per atom
data_LiCe2Ga
_chemical_formula_sum 'Li3 Ce6 Ga3'
_space_group_name_H-M_alt 'R -3 m'
_space_group_IT_number 166
_space_group_name_Hall '-R 3 2"'
_cell_length_a 3.0486
_cell_length_b 3.0486
_cell_length_c 34.8631
_cell_angle_alpha 90.00
_cell_angle_beta 90.00
_cell_angle_gamma 120.00
loop_
_atom_site_label
_atom_site_fract_x
_atom_site_fract_y
_atom_site_fract_z
_atom_site_occupancy
Li1 0.0000 0.0000 0.0000 1
Ce1 0.0000 0.0000 0.0912 1
Ga1 0.0000 0.0000 0.5000 1